Entry 1:
VASP calculation (SCAN) on a PBEsol-optimized structure of Cu2SnHgO.

Geometry as extended XYZ:
```
5
Lattice="3.919 0.000 0.000 0.000 3.919 0.000 0.000 0.000 5.498" Properties=species:S:1:pos:R:3 pbc="T T T"
Cu 0.000 1.959 0.000
Cu 1.959 0.000 0.000
Sn 0.000 0.000 2.749
Hg 1.959 1.959 2.749
O 1.959 1.959 0.000
```

The uncorrected formation energy comes out at 0.027 eV per atom. The density of states at the Fermi level is 2.1 states/eV/f.u. As for the crystal system: tetragonal. The value obtained for the volume is 84.4 Å³/cell.

Entry 2:
VASP calculation (SCAN) on a PBEsol-optimized structure of LiIn2Rh2.

Geometry as extended XYZ:
```
10
Lattice="7.554 0.000 0.000 0.000 7.554 0.000 0.000 0.000 3.048" Properties=species:S:1:pos:R:3 pbc="T T T"
Li 0.000 0.000 0.000
Li 3.777 3.777 0.000
In 1.146 2.631 0.000
In 2.631 6.408 0.000
In 4.923 1.146 0.000
In 6.408 4.923 0.000
Rh 1.096 4.873 1.524
Rh 2.681 1.096 1.524
Rh 4.873 6.458 1.524
Rh 6.458 2.681 1.524
```

The density of states at the Fermi level is 1.9 states/eV/f.u. The calculation puts the calculated formation energy at -36.9 kJ/mol of atoms. As for the crystal system: tetragonal. The value obtained for the volume is 173.9 Å³/cell.